The following is a PBE-GGA calculation of a relaxed structure of PmNdTlTe, from the Alexandria database.

```
4
Lattice="2.162 1.248 7.983 -2.162 1.248 7.983 0.000 -2.497 7.983" Properties=species:S:1:pos:R:3 pbc="T T T"
Pm 0.000 0.000 0.000
Nd 0.000 0.000 11.892
Tl 0.000 0.000 5.960
Te 0.000 0.000 17.902
```

Its energy is -4.64 eV/atom. As for the total magnetization: 0.00 μB/cell. For the density of states at the Fermi level, the calculation gives 0.558 states/eV/atom. The formation energy without anion corrections comes out at -883 meV/atom. Its mass density is 7.98 Mg/m³.